CaZrGa: optimized geometry, GGA-PBE.

Lattice parameters (Å, degrees): 5.813 4.893 6.976 75.67 65.38 53.56
Positions (direct):
Zr 0.750 0.500 0.500
Zr 0.250 0.500 0.500
Ca 0.820 0.360 0.000
Ca 0.180 0.640 0.000
Ga 0.622 0.000 0.755
Ga 0.378 0.000 0.245

Results
Its magnetization is 0.00 μB/cell. As for the calculated formation energy: -17 kJ/mol of formula units.